# 1
Density functional theory data (GGA-PBE) for a relaxed TbNpS2N crystal.

Values from the calculation:
raw formation energy: -1.658 eV per atom
SG: P4/nmm, No. 129

Unit cell a=3.8200 b=3.8200 c=13.8219 alpha=90.00 beta=90.00 gamma=90.00
With the nearest neighbours (Å) after each atom.
Fractional positions:
Tb 0.2500 0.2500 0.1215  5 S 2.62-2.73
Tb 0.7500 0.7500 0.8785  5 S 2.62-2.73
Np 0.2500 0.2500 0.5848  4 N 2.24
Np 0.7500 0.7500 0.4152  4 N 2.24
S 0.2500 0.2500 0.3109  1 Tb 2.62
S 0.2500 0.2500 0.9080  5 Tb 2.73-2.95
S 0.7500 0.7500 0.0920  5 Tb 2.73-2.95
S 0.7500 0.7500 0.6891  1 Tb 2.62
N 0.2500 0.7500 0.5000  4 Np 2.24
N 0.7500 0.2500 0.5000  4 Np 2.24

***

# 2
Density functional theory data (GGA-PBE) for a relaxed YTl2Ni crystal.

Values from the calculation:
SG: C2/m, No. 12
energy of formation from the pure elements: -0.050 eV per atom

Unit cell a=4.8745 b=4.8745 c=5.6268 alpha=110.01 beta=110.01 gamma=48.24
With the nearest neighbours (Å) after each atom.
Fractional positions:
Y 0.0000 0.0000 0.0000  6 Tl 3.08-3.15, 4 Ni 3.45
Tl 0.2211 0.2211 0.6900  3 Ni 2.72-3.05
Tl 0.7789 0.7789 0.3100  3 Ni 2.72-3.05
Ni 0.5000 0.5000 0.5000  6 Tl 2.72-3.05

***

# 3
Density functional theory data (GGA-PBE) for a relaxed MoOsSCl2 crystal.

Values from the calculation:
raw formation energy: 1.126 eV per atom
SG: P4/mmm, No. 123
relative energy among the computed polymorphs: 218 meV/atom

Unit cell a=4.8735 b=4.8735 c=4.6497 alpha=90.00 beta=90.00 gamma=90.00
With the nearest neighbours (Å) after each atom.
Fractional positions:
Mo 0.0000 0.0000 0.0000  2 S 2.32, 4 Cl 2.44
Os 0.5000 0.5000 0.5000  8 Cl 3.37, 4 S 3.45
S 0.0000 0.0000 0.5000  2 Mo 2.32
Cl 0.0000 0.5000 0.0000  2 Mo 2.44
Cl 0.5000 0.0000 0.0000  2 Mo 2.44

***

# 4
Density functional theory data (GGA-PBE) for a relaxed IrRh2 crystal.

Values from the calculation:
SG: P-3m1, No. 164
energy of formation from the pure elements: -0.010 eV per atom
relative energy among the computed polymorphs: 4 meV/atom

Unit cell a=2.7191 b=2.7191 c=6.6947 alpha=90.00 beta=90.00 gamma=120.00
With the nearest neighbours (Å) after each atom.
Fractional positions:
Ir 0.0000 0.0000 0.0000  6 Ir 2.72, 6 Rh 2.72
Rh 0.3333 0.6667 0.6680  9 Rh 2.72-2.74, 3 Ir 2.72
Rh 0.6667 0.3333 0.3320  9 Rh 2.72-2.74, 3 Ir 2.72

***

# 5
Density functional theory data (GGA-PBE) for a relaxed CeTmZnOs crystal.

Values from the calculation:
SG: F-43m, No. 216
energy of formation from the pure elements: -0.262 eV per atom

Unit cell a=4.9165 b=4.9165 c=4.9165 alpha=60.00 beta=60.00 gamma=60.00
With the nearest neighbours (Å) after each atom.
Fractional positions:
Ce 0.0000 0.0000 0.0000  4 Os 3.01, 4 Zn 3.01
Tm 0.5000 0.5000 0.5000  4 Os 3.01, 4 Zn 3.01
Zn 0.2500 0.2500 0.2500  4 Ce 3.01, 4 Tm 3.01
Os 0.7500 0.7500 0.7500  4 Ce 3.01, 4 Tm 3.01

***

# 6
Density functional theory data (GGA-PBE) for a relaxed IrPdAu crystal.

Values from the calculation:
SG: R3m, No. 160
energy of formation from the pure elements: 0.214 eV per atom
relative energy among the computed polymorphs: 45 meV/atom

Unit cell a=7.2044 b=7.2044 c=7.2044 alpha=22.45 beta=22.45 gamma=22.45
With the nearest neighbours (Å) after each atom.
Fractional positions:
Ir 0.0000 0.0000 0.0000  3 Pd 2.74, 6 Ir 2.80, 3 Au 2.89
Pd 0.4384 0.4384 0.4384  3 Ir 2.74, 6 Pd 2.80, 3 Au 2.90
Au 0.2194 0.2194 0.2194  6 Au 2.80, 3 Ir 2.89, 3 Pd 2.90

***

# 7
Density functional theory data (GGA-PBE) for a relaxed Sc2VPd2 crystal.

Values from the calculation:
SG: P4/mbm, No. 127
energy of formation from the pure elements: -0.434 eV per atom
relative energy among the computed polymorphs: 0 meV/atom

Unit cell a=7.2177 b=7.2177 c=3.5962 alpha=90.00 beta=90.00 gamma=90.00
With the nearest neighbours (Å) after each atom.
Fractional positions:
Sc 0.1691 0.3309 0.0000  6 Pd 2.70-2.84
Sc 0.3309 0.8309 0.0000  6 Pd 2.70-2.84
Sc 0.6691 0.1691 0.0000  6 Pd 2.70-2.84
Sc 0.8309 0.6691 0.0000  6 Pd 2.70-2.84
V 0.0000 0.0000 0.5000  4 Pd 2.81
V 0.5000 0.5000 0.5000  4 Pd 2.81
Pd 0.1341 0.6341 0.5000  6 Sc 2.70-2.84, 1 Pd 2.74, 2 V 2.81
Pd 0.3659 0.1341 0.5000  6 Sc 2.70-2.84, 1 Pd 2.74, 2 V 2.81
Pd 0.6341 0.8659 0.5000  6 Sc 2.70-2.84, 1 Pd 2.74, 2 V 2.81
Pd 0.8659 0.3659 0.5000  6 Sc 2.70-2.84, 1 Pd 2.74, 2 V 2.81

***

# 8
Density functional theory data (GGA-PBE) for a relaxed SbH3N crystal.

Values from the calculation:
SG: Pm-3m, No. 221
relative energy among the computed polymorphs: 0 meV/atom

Unit cell a=3.4227 b=3.4227 c=3.4227 alpha=90.00 beta=90.00 gamma=90.00
With the nearest neighbours (Å) after each atom.
Fractional positions:
Sb 0.0000 0.0000 0.0000  12 H 2.42
H 0.0000 0.5000 0.5000  2 N 1.71
H 0.5000 0.0000 0.5000  2 N 1.71
H 0.5000 0.5000 0.0000  2 N 1.71
N 0.5000 0.5000 0.5000  6 H 1.71

***

no.,final energy (eV per atom)
1,-8.489
2,-4.295
3,-4.850
4,-7.865
5,-5.989
6,-5.563
7,-6.868
8,-3.220